Record 1
BaSe2Br after structural relaxation. Source: the Alexandria database, functional PBE.

Output
- M_tot: 0.89 μB per formula unit
- Raw formation energy: -413 kJ/mol of formula units
- Energy relative to the lowest polymorph listed for this composition: 155 meV/atom
- Electronic total energy: -14.8 eV/cell

```
data_BaSe2Br
_chemical_formula_sum 'Ba1 Se2 Br1'
_space_group_name_H-M_alt 'P 1'
_space_group_IT_number 1
_cell_length_a 4.6604
_cell_length_b 4.6737
_cell_length_c 6.4482
_cell_angle_alpha 90.00
_cell_angle_beta 90.00
_cell_angle_gamma 90.00
loop_
_space_group_symop_operation_xyz
'x,y,z'
loop_
_atom_site_label
_atom_site_type_symbol
_atom_site_fract_x
_atom_site_fract_y
_atom_site_fract_z
Ba1 Ba 0.0000 0.0000 0.0000
Se1 Se 0.5000 0.5000 0.1822
Se2 Se 0.5000 0.5000 0.8178
Br1 Br 0.0000 0.0000 0.5000
```


Record 2
BaSe2Br after structural relaxation. Source: the Alexandria database, functional PBE.

Output
- M_tot: 0.00 μB per formula unit
- Raw formation energy: -464 kJ/mol of formula units
- Energy relative to the lowest polymorph listed for this composition: 21 meV/atom
- Electronic total energy: -15.4 eV/cell

```
data_BaSe2Br
_chemical_formula_sum 'Ba1 Se2 Br1'
_space_group_name_H-M_alt 'P 1'
_space_group_IT_number 1
_cell_length_a 4.5045
_cell_length_b 4.3877
_cell_length_c 7.2579
_cell_angle_alpha 90.00
_cell_angle_beta 96.93
_cell_angle_gamma 90.00
loop_
_space_group_symop_operation_xyz
'x,y,z'
loop_
_atom_site_label
_atom_site_type_symbol
_atom_site_fract_x
_atom_site_fract_y
_atom_site_fract_z
Ba1 Ba 0.0000 0.0000 0.0000
Se1 Se 0.6225 0.0000 0.3475
Se2 Se 0.9002 0.5000 0.3646
Br1 Br 0.4653 0.5000 0.8496
```


Record 3
Ba5Se4Br after structural relaxation. Source: the Alexandria database, functional PBE.

Output
- M_tot: 0.00 μB per formula unit
- Raw formation energy: -1906 kJ/mol of formula units
- Electronic total energy: -45.0 eV/cell

```
data_Ba5Se4Br
_chemical_formula_sum 'Ba5 Se4 Br1'
_space_group_name_H-M_alt 'P 1'
_space_group_IT_number 1
_cell_length_a 12.4980
_cell_length_b 12.4980
_cell_length_c 12.4980
_cell_angle_alpha 158.23
_cell_angle_beta 149.09
_cell_angle_gamma 38.13
loop_
_space_group_symop_operation_xyz
'x,y,z'
loop_
_atom_site_label
_atom_site_type_symbol
_atom_site_fract_x
_atom_site_fract_y
_atom_site_fract_z
Ba1 Ba 0.0000 0.0000 0.0000
Ba2 Ba 0.1992 0.1992 0.0000
Ba3 Ba 0.3921 0.3921 0.0000
Ba4 Ba 0.6079 0.6079 0.0000
Ba5 Ba 0.8008 0.8008 0.0000
Se1 Se 0.0979 0.5979 0.5000
Se2 Se 0.2995 0.7995 0.5000
Se3 Se 0.7005 0.2005 0.5000
Se4 Se 0.9021 0.4021 0.5000
Br1 Br 0.5000 0.0000 0.5000
```


Record 4
BaSiSe2Br after structural relaxation. Source: the Alexandria database, functional PBE.

Output
- M_tot: 0.00 μB per formula unit
- Raw formation energy: -461 kJ/mol of formula units
- Energy relative to the lowest polymorph listed for this composition: 0 meV/atom
- Electronic total energy: -20.8 eV/cell

```
data_BaSiSe2Br
_chemical_formula_sum 'Ba1 Si1 Se2 Br1'
_space_group_name_H-M_alt 'P 1'
_space_group_IT_number 1
_cell_length_a 5.0761
_cell_length_b 5.0761
_cell_length_c 5.2906
_cell_angle_alpha 90.00
_cell_angle_beta 90.00
_cell_angle_gamma 90.00
loop_
_space_group_symop_operation_xyz
'x,y,z'
loop_
_atom_site_label
_atom_site_type_symbol
_atom_site_fract_x
_atom_site_fract_y
_atom_site_fract_z
Ba1 Ba 0.0000 0.0000 0.0000
Si1 Si 0.5000 0.5000 0.5000
Se1 Se 0.0000 0.5000 0.5000
Se2 Se 0.5000 0.0000 0.5000
Br1 Br 0.5000 0.5000 0.0000
```


Record 5
BaSiSe2Br after structural relaxation. Source: the Alexandria database, functional PBE.

Output
- M_tot: 1.02 μB per formula unit
- Raw formation energy: 160 kJ/mol of formula units
- Energy relative to the lowest polymorph listed for this composition: 1288 meV/atom
- Electronic total energy: -14.3 eV/cell

```
data_BaSiSe2Br
_chemical_formula_sum 'Ba1 Si1 Se2 Br1'
_space_group_name_H-M_alt 'P 1'
_space_group_IT_number 1
_cell_length_a 6.2544
_cell_length_b 6.2544
_cell_length_c 6.0515
_cell_angle_alpha 90.00
_cell_angle_beta 90.00
_cell_angle_gamma 90.00
loop_
_space_group_symop_operation_xyz
'x,y,z'
loop_
_atom_site_label
_atom_site_type_symbol
_atom_site_fract_x
_atom_site_fract_y
_atom_site_fract_z
Ba1 Ba 0.0000 0.0000 0.0000
Si1 Si 0.5000 0.5000 0.5000
Se1 Se 0.0000 0.5000 0.0000
Se2 Se 0.5000 0.0000 0.0000
Br1 Br 0.0000 0.0000 0.5000
```


Record 6
Ba4SnSeBr2 after structural relaxation. Source: the Alexandria database, functional PBE.

Output
- M_tot: 0.00 μB per formula unit
- Raw formation energy: -1182 kJ/mol of formula units
- Electronic total energy: -30.8 eV/cell

```
data_Ba4SnSeBr2
_chemical_formula_sum 'Ba4 Sn1 Se1 Br2'
_space_group_name_H-M_alt 'P 1'
_space_group_IT_number 1
_cell_length_a 8.4856
_cell_length_b 4.9170
_cell_length_c 8.4989
_cell_angle_alpha 90.00
_cell_angle_beta 109.79
_cell_angle_gamma 90.00
loop_
_space_group_symop_operation_xyz
'x,y,z'
loop_
_atom_site_label
_atom_site_type_symbol
_atom_site_fract_x
_atom_site_fract_y
_atom_site_fract_z
Ba1 Ba 0.2422 0.0000 0.2233
Ba2 Ba 0.2540 0.5000 0.7678
Ba3 Ba 0.7460 0.5000 0.2322
Ba4 Ba 0.7578 0.0000 0.7767
Sn1 Sn 0.5000 0.0000 0.0000
Se1 Se 0.0000 0.5000 0.0000
Br1 Br 0.0000 0.0000 0.5000
Br2 Br 0.5000 0.5000 0.5000
```


Q: electronic total energy of number 2 (BaSe2Br)?
A: -15.4 eV/cell